Re2Ir3 after structural relaxation. Source: Alexandria via LeMat-Bulk, functional PBE.

Structure (extended XYZ):
```
5
Lattice="-3.952 6.001 -3.554 -5.364 5.953 -0.219 -2.227 7.656 -0.833" Properties=species:S:1:pos:R:3 pbc="T T T"
Re -6.881 11.691 -2.746
Re -4.661 7.920 -1.860
Ir 0.000 0.000 0.000
Ir -9.128 15.509 -3.643
Ir -2.414 4.101 -0.963
```

For the total DFT energy (no corrections), the calculation gives -9.34 eV/atom. Its total magnetization is 0.00 μB per atom. For the energy above the lowest structure with this stoichiometry, the calculation gives 940 meV per atom. As for the formation energy: 0.961 eV per atom.